Run a
Material: DyEr3Tm
Method: DFT, PBE
State: relaxed

Lattice parameters (Å, degrees): 6.057 6.064 9.265 102.53 109.01 99.68
Fractional positions:
Dy 0.200 0.250 0.150
Dy 0.800 0.750 0.850
Er 0.000 0.250 0.749
Er 0.000 0.750 0.251
Er 0.400 0.250 0.550
Er 0.401 0.750 0.050
Er 0.599 0.250 0.950
Er 0.600 0.750 0.450
Tm 0.200 0.750 0.649
Tm 0.800 0.250 0.351

As for the spin magnetization: 0.00 μB/cell. Its density of states at the Fermi level is 1.427 states/eV/atom.

=====

Run b
Material: DyEr3Tm
Method: DFT, PBE
State: relaxed

Lattice parameters (Å, degrees): 6.521 11.061 9.956 90.00 121.29 90.00
Fractional positions:
Dy 0.206 0.123 0.151
Dy 0.206 0.377 0.651
Dy 0.794 0.623 0.349
Dy 0.794 0.877 0.849
Er 0.008 0.097 0.714
Er 0.008 0.403 0.214
Er 0.160 0.677 0.147
Er 0.160 0.823 0.647
Er 0.412 0.098 0.589
Er 0.412 0.402 0.089
Er 0.588 0.598 0.911
Er 0.588 0.902 0.411
Er 0.840 0.177 0.353
Er 0.840 0.323 0.853
Er 0.992 0.597 0.786
Er 0.992 0.903 0.286
Tm 0.423 0.642 0.522
Tm 0.423 0.858 0.022
Tm 0.577 0.142 0.978
Tm 0.577 0.358 0.478

As for the spin magnetization: 0.00 μB/cell. Its density of states at the Fermi level is 1.364 states/eV/atom.

=====

Which of them is the least stable? Correct choice: run b.

=====

Run a
Material: Dy2ErTm9
Method: DFT, PBE
State: relaxed

Lattice parameters (Å, degrees): 4.939 4.939 14.817 90.00 90.00 90.00
Fractional positions:
Dy 0.000 0.000 0.167
Dy 0.000 0.000 0.833
Er 0.000 0.000 0.500
Tm 0.000 0.500 0.000
Tm 0.000 0.500 0.334
Tm 0.000 0.500 0.666
Tm 0.500 0.000 0.000
Tm 0.500 0.000 0.334
Tm 0.500 0.000 0.666
Tm 0.500 0.500 0.167
Tm 0.500 0.500 0.500
Tm 0.500 0.500 0.833

As for the spin magnetization: 0.00 μB/cell. Its density of states at the Fermi level is 1.442 states/eV/atom.

=====

Run b
Material: Dy2ErTm9
Method: DFT, PBE
State: relaxed

Lattice parameters (Å, degrees): 11.032 11.032 3.454 90.00 90.00 120.00
Fractional positions:
Dy 0.333 0.667 0.000
Dy 0.667 0.333 0.000
Er 0.000 0.000 0.000
Tm 0.000 0.500 0.000
Tm 0.176 0.352 0.500
Tm 0.176 0.824 0.500
Tm 0.352 0.176 0.500
Tm 0.500 0.000 0.000
Tm 0.500 0.500 0.000
Tm 0.648 0.824 0.500
Tm 0.824 0.176 0.500
Tm 0.824 0.648 0.500

As for the spin magnetization: 0.01 μB/cell. Its density of states at the Fermi level is 1.722 states/eV/atom.

=====

Which of them is the least stable? Correct choice: run b.

=====

Run a
Material: Dy9Er2Tm
Method: DFT, PBE
State: relaxed

Lattice parameters (Å, degrees): 11.132 11.132 3.467 90.00 90.00 120.00
Fractional positions:
Dy 0.000 0.500 0.000
Dy 0.176 0.351 0.500
Dy 0.176 0.824 0.500
Dy 0.351 0.176 0.500
Dy 0.500 0.000 0.000
Dy 0.500 0.500 0.000
Dy 0.649 0.824 0.500
Dy 0.824 0.176 0.500
Dy 0.824 0.649 0.500
Er 0.333 0.667 0.000
Er 0.667 0.333 0.000
Tm 0.000 0.000 0.000

As for the spin magnetization: 0.00 μB/cell. Its density of states at the Fermi level is 1.583 states/eV/atom.

=====

Run b
Material: Dy9Er2Tm
Method: DFT, PBE
State: relaxed

Lattice parameters (Å, degrees): 4.984 4.984 14.950 90.00 90.00 90.00
Fractional positions:
Dy 0.000 0.000 0.000
Dy 0.000 0.000 0.333
Dy 0.000 0.000 0.667
Dy 0.000 0.500 0.166
Dy 0.000 0.500 0.500
Dy 0.000 0.500 0.834
Dy 0.500 0.000 0.166
Dy 0.500 0.000 0.500
Dy 0.500 0.000 0.834
Er 0.500 0.500 0.333
Er 0.500 0.500 0.667
Tm 0.500 0.500 0.000

As for the spin magnetization: 0.00 μB/cell. Its density of states at the Fermi level is 1.465 states/eV/atom.

=====

Which of them is the least stable? Correct choice: run a.

=====

Run a
Material: Dy4ErTm
Method: DFT, PBE
State: relaxed

Lattice parameters (Å, degrees): 8.564 8.564 6.395 101.42 101.42 118.82
Fractional positions:
Dy 0.109 0.710 0.956
Dy 0.176 0.422 0.616
Dy 0.290 0.891 0.544
Dy 0.422 0.176 0.116
Dy 0.578 0.824 0.884
Dy 0.710 0.109 0.456
Dy 0.824 0.578 0.384
Dy 0.891 0.290 0.044
Er 0.414 0.586 0.250
Er 0.586 0.414 0.750
Tm 0.006 0.994 0.250
Tm 0.994 0.006 0.750

As for the spin magnetization: 0.00 μB/cell. Its density of states at the Fermi level is 1.550 states/eV/atom.

=====

Run b
Material: Dy4ErTm
Method: DFT, PBE
State: relaxed

Lattice parameters (Å, degrees): 8.733 8.733 6.158 96.73 96.73 23.48
Fractional positions:
Dy 0.166 0.166 0.389
Dy 0.334 0.334 0.111
Dy 0.666 0.666 0.889
Dy 0.834 0.834 0.611
Er 0.000 0.000 0.000
Tm 0.500 0.500 0.500

As for the spin magnetization: 0.00 μB/cell. Its density of states at the Fermi level is 1.312 states/eV/atom.

=====

Which of them is the least stable? Correct choice: run a.

=====

Run a
Material: Dy5ErTm2
Method: DFT, PBE
State: relaxed

Lattice parameters (Å, degrees): 8.570 8.570 11.297 90.00 90.00 142.08
Fractional positions:
Dy 0.046 0.954 0.612
Dy 0.046 0.954 0.888
Dy 0.394 0.606 0.250
Dy 0.412 0.588 0.580
Dy 0.412 0.588 0.920
Dy 0.588 0.412 0.080
Dy 0.588 0.412 0.420
Dy 0.606 0.394 0.750
Dy 0.954 0.046 0.112
Dy 0.954 0.046 0.388
Er 0.228 0.772 0.750
Er 0.772 0.228 0.250
Tm 0.214 0.786 0.079
Tm 0.214 0.786 0.421
Tm 0.786 0.214 0.579
Tm 0.786 0.214 0.921

As for the spin magnetization: 0.00 μB/cell. Its density of states at the Fermi level is 1.545 states/eV/atom.

=====

Run b
Material: Dy5ErTm2
Method: DFT, PBE
State: relaxed

Lattice parameters (Å, degrees): 7.034 14.068 4.967 90.00 90.00 90.00
Fractional positions:
Dy 0.000 0.000 0.000
Dy 0.000 0.250 0.000
Dy 0.000 0.750 0.000
Dy 0.250 0.125 0.500
Dy 0.250 0.625 0.500
Dy 0.500 0.250 0.000
Dy 0.500 0.500 0.000
Dy 0.500 0.750 0.000
Dy 0.750 0.375 0.500
Dy 0.750 0.875 0.500
Er 0.000 0.500 0.000
Er 0.500 0.000 0.000
Tm 0.250 0.375 0.500
Tm 0.250 0.875 0.500
Tm 0.750 0.125 0.500
Tm 0.750 0.625 0.500

As for the spin magnetization: 0.00 μB/cell. Its density of states at the Fermi level is 1.138 states/eV/atom.

=====

Which of them is the least stable? Correct choice: run a.